# 1
{"formula": "TaAgS3", "functional": "PBEsol", "state": "optimized geometry", "spacegroup": "Cmcm", "raw_formation_energy_ev_per_atom": -0.73, "lattice_angstrom": [[1.6653, -6.9572, 0.0000], [1.6653, 6.9572, 0.0000], [0.0000, 0.0000, 7.7012]], "species": ["Ta", "Ta", "Ag", "Ag", "S", "S", "S", "S", "S", "S"], "frac_coords": [[0.2374, 0.7626, 0.7500], [0.7626, 0.2374, 0.2500], [0.5000, 0.5000, 0.0000], [0.5000, 0.5000, 0.5000], [0.1716, 0.8284, 0.0686], [0.1716, 0.8284, 0.4314], [0.3981, 0.6019, 0.2500], [0.6019, 0.3981, 0.7500], [0.8284, 0.1716, 0.5686], [0.8284, 0.1716, 0.9314]]}

# 2
{"formula": "Cd2P3Br", "functional": "PBEsol", "state": "optimized geometry", "spacegroup": "C2/c", "raw_formation_energy_ev_per_atom": -0.29, "lattice_angstrom": [[4.0259, -4.5226, 0.0000], [4.0259, 4.5226, 0.0000], [-1.3634, 0.0000, 7.3568]], "species": ["Cd", "Cd", "Cd", "Cd", "P", "P", "P", "P", "P", "P", "Br", "Br"], "frac_coords": [[0.0982, 0.3964, 0.2901], [0.3964, 0.0982, 0.7901], [0.6036, 0.9018, 0.2099], [0.9018, 0.6036, 0.7099], [0.0696, 0.1625, 0.9672], [0.1625, 0.0696, 0.4672], [0.1973, 0.8027, 0.2500], [0.8027, 0.1973, 0.7500], [0.8375, 0.9304, 0.5328], [0.9304, 0.8375, 0.0328], [0.3752, 0.6248, 0.7500], [0.6248, 0.3752, 0.2500]]}

# 3
{"formula": "Cu2NiOs", "functional": "PBEsol", "state": "optimized geometry", "spacegroup": "I-4m2", "relative_energy_ev_per_atom": 0.186, "lattice_angstrom": [[-1.8282, 1.8282, 3.5269], [1.8282, -1.8282, 3.5269], [1.8282, 1.8282, -3.5269]], "species": ["Cu", "Cu", "Ni", "Os"], "frac_coords": [[0.0000, 0.0000, 0.0000], [0.7500, 0.2500, 0.5000], [0.5000, 0.5000, 0.0000], [0.2500, 0.7500, 0.5000]]}

# 4
{"formula": "GeBr2F10", "functional": "PBEsol", "state": "optimized geometry", "spacegroup": "P2_1/c", "raw_formation_energy_ev_per_atom": -1.52, "lattice_angstrom": [[4.9212, 0.0000, 0.0000], [0.0000, 14.2407, 0.0000], [-2.6624, 0.0000, 5.8070]], "species": ["Ge", "Ge", "Br", "Br", "Br", "Br", "F", "F", "F", "F", "F", "F", "F", "F", "F", "F", "F", "F", "F", "F", "F", "F", "F", "F", "F", "F"], "frac_coords": [[0.0000, 0.0000, 0.0000], [0.0000, 0.5000, 0.5000], [0.3289, 0.1337, 0.6733], [0.3289, 0.3663, 0.1733], [0.6711, 0.6337, 0.8267], [0.6711, 0.8663, 0.3267], [0.0074, 0.6698, 0.0561], [0.0074, 0.8302, 0.5561], [0.0531, 0.0292, 0.7349], [0.0531, 0.4708, 0.2349], [0.2483, 0.6041, 0.5474], [0.2483, 0.8959, 0.0474], [0.3074, 0.0692, 0.1677], [0.3074, 0.4308, 0.6677], [0.4680, 0.7206, 0.9002], [0.4680, 0.7794, 0.4002], [0.5320, 0.2206, 0.5998], [0.5320, 0.2794, 0.0998], [0.6926, 0.5692, 0.3323], [0.6926, 0.9308, 0.8323], [0.7517, 0.1041, 0.9526], [0.7517, 0.3959, 0.4526], [0.9469, 0.5292, 0.7651], [0.9469, 0.9708, 0.2651], [0.9926, 0.1698, 0.4439], [0.9926, 0.3302, 0.9439]]}

# 5
{"formula": "Li2CoNiO4", "functional": "PBEsol", "state": "optimized geometry", "spacegroup": "Imm2", "raw_formation_energy_ev_per_atom": -1.35, "relative_energy_ev_per_atom": 0.065, "lattice_angstrom": [[-1.9573, 1.9575, 4.1405], [1.9573, -1.9575, 4.1405], [1.9573, 1.9575, -4.1405]], "species": ["Li", "Li", "Co", "Ni", "O", "O", "O", "O"], "frac_coords": [[0.0000, 0.0000, 0.0000], [0.7497, 0.2497, 0.5000], [0.4991, 0.4991, 0.0000], [0.2491, 0.7491, 0.5000], [0.0224, 0.5224, 0.5000], [0.2715, 0.2715, 0.0000], [0.4758, 0.9758, 0.5000], [0.7266, 0.7266, 0.0000]]}

# 6
{"formula": "Zn2HF", "functional": "PBEsol", "state": "optimized geometry", "spacegroup": "Fm-3m", "lattice_angstrom": [[0.0000, 2.8164, 2.8164], [2.8164, 0.0000, 2.8164], [2.8164, 2.8164, 0.0000]], "species": ["Zn", "Zn", "H", "F"], "frac_coords": [[0.2500, 0.2500, 0.2500], [0.7500, 0.7500, 0.7500], [0.0000, 0.0000, 0.0000], [0.5000, 0.5000, 0.5000]]}

# 7
{"formula": "In2Ga2Pb", "functional": "PBEsol", "state": "optimized geometry", "spacegroup": "P4/mbm", "relative_energy_ev_per_atom": 0.000, "lattice_angstrom": [[8.4970, 0.0000, 0.0000], [0.0000, 8.4970, 0.0000], [0.0000, 0.0000, 3.2471]], "species": ["In", "In", "In", "In", "Ga", "Ga", "Ga", "Ga", "Pb", "Pb"], "frac_coords": [[0.1384, 0.3616, 0.0000], [0.3616, 0.8616, 0.0000], [0.6384, 0.1384, 0.0000], [0.8616, 0.6384, 0.0000], [0.1598, 0.6598, 0.5000], [0.3402, 0.1598, 0.5000], [0.6598, 0.8402, 0.5000], [0.8402, 0.3402, 0.5000], [0.0000, 0.0000, 0.0000], [0.5000, 0.5000, 0.0000]]}

# 8
{"formula": "FeTeOs2", "functional": "PBEsol", "state": "optimized geometry", "spacegroup": "R-3m", "raw_formation_energy_ev_per_atom": 0.77, "lattice_angstrom": [[1.4733, 0.8506, 8.2028], [-1.4733, 0.8506, 8.2028], [0.0000, -1.7013, 8.2028]], "species": ["Fe", "Te", "Os", "Os"], "frac_coords": [[0.0000, 0.0000, 0.0000], [0.5000, 0.5000, 0.5000], [0.2560, 0.2560, 0.2560], [0.7440, 0.7440, 0.7440]]}

no.,energy (eV/atom),mass density (g cm⁻³)
1,-6.534,7.17
2,-3.895,4.93
3,-6.415,13.24
4,-3.671,3.45
5,-6.203,5.12
6,-2.192,5.61
7,-3.270,8.16
8,-8.463,15.18